Entry from Alexandria: an optimized crystal structure of PrCrO4F (GGA+U).

```
data_PrCrO4F
_chemical_formula_sum 'Pr4 Cr4 O16 F4'
_space_group_name_H-M_alt 'C 1 2/m 1'
_space_group_IT_number 12
_space_group_name_Hall '-C 2y'
_cell_length_a 9.659
_cell_length_b 7.523
_cell_length_c 6.876
_cell_angle_alpha 90.00
_cell_angle_beta 105.99
_cell_angle_gamma 90.00
loop_
_atom_site_label
_atom_site_type_symbol
_atom_site_fract_x
_atom_site_fract_y
_atom_site_fract_z
_atom_site_occupancy
Pr1 Pr 0.207 0.000 0.111 1
Cr1 Cr 0.150 0.500 0.274 1
O1 O 0.024 0.500 0.753 1
O2 O 0.197 0.324 0.152 1
O3 O 0.237 0.500 0.515 1
F1 F 0.015 0.000 0.819 1
```

Output
- VASP energy: -201.33 eV/cell
- Theoretical density: 3.82 g/cm3